(1)
Computed, not measured: a relaxed Ac2MgIn12Ni3 crystal at the GGA-PBE level of DFT.

Geometry as CIF:
```
data_Ac2MgIn12Ni3
_chemical_formula_sum 'Ac2 Mg1 In12 Ni3'
_symmetry_space_group_name_H-M 'P 1'
_symmetry_Int_Tables_number 1
_cell_length_a 8.6169
_cell_length_b 8.6169
_cell_length_c 8.6169
_cell_angle_alpha 66.83
_cell_angle_beta 66.83
_cell_angle_gamma 66.83
loop_
_symmetry_equiv_pos_as_xyz
'x,y,z'
loop_
_atom_site_label
_atom_site_fract_x
_atom_site_fract_y
_atom_site_fract_z
Ac1 0.5914 0.5914 0.5914
Ac2 0.4086 0.4086 0.4086
Mg1 0.0000 0.0000 0.0000
In1 0.2790 0.2790 0.8964
In2 0.8588 0.8588 0.4018
In3 0.4018 0.8588 0.8588
In4 0.8964 0.2790 0.2790
In5 0.8588 0.4018 0.8588
In6 0.2790 0.8964 0.2790
In7 0.7210 0.7210 0.1036
In8 0.1412 0.1412 0.5982
In9 0.5982 0.1412 0.1412
In10 0.1036 0.7210 0.7210
In11 0.1412 0.5982 0.1412
In12 0.7210 0.1036 0.7210
Ni1 0.5000 0.0000 0.0000
Ni2 0.0000 0.5000 0.0000
Ni3 0.0000 0.0000 0.5000
```

Output
Formation energy from the elements ... -0.002 eV per atom
V ... 519 Å³/cell
Space group ... R-3m, No. 166
M_tot ... 0.000 μB per atom
Final energy ... -3.34 eV per atom
Crystal system ... trigonal

=====

(2)
Computed, not measured: a relaxed Ac2Mg4InPb3 crystal at the GGA-PBE level of DFT.

Geometry as CIF:
```
data_Ac2Mg4InPb3
_chemical_formula_sum 'Ac2 Mg4 In1 Pb3'
_symmetry_space_group_name_H-M 'P 1'
_symmetry_Int_Tables_number 1
_cell_length_a 4.9096
_cell_length_b 4.9096
_cell_length_c 12.0405
_cell_angle_alpha 90.00
_cell_angle_beta 90.00
_cell_angle_gamma 90.00
loop_
_symmetry_equiv_pos_as_xyz
'x,y,z'
loop_
_atom_site_label
_atom_site_fract_x
_atom_site_fract_y
_atom_site_fract_z
Ac1 0.5000 0.0000 0.2623
Ac2 0.0000 0.5000 0.7377
Mg1 0.5000 0.5000 0.0000
Mg2 0.0000 0.0000 0.0000
Mg3 0.5000 0.0000 0.6281
Mg4 0.0000 0.5000 0.3719
In1 0.5000 0.5000 0.5000
Pb1 0.0000 0.0000 0.5000
Pb2 0.5000 0.0000 0.8602
Pb3 0.0000 0.5000 0.1398
```

Output
Formation energy from the elements ... -0.313 eV per atom
V ... 290 Å³/cell
Space group ... P-4m2, No. 115
M_tot ... 0.000 μB per atom
Final energy ... -3.16 eV per atom
Crystal system ... tetragonal